1.
NdDyTm4 | GGA-PBE | optimized geometry

```
6
Lattice="0.000 4.631 4.631 4.631 0.000 4.631 4.631 4.631 0.000" Properties=species:S:1:pos:R:3 pbc="T T T"
Nd 0.000 0.000 0.000
Dy 2.315 2.315 2.315
Tm 5.784 3.478 3.478
Tm 3.478 5.784 3.478
Tm 3.478 3.478 5.784
Tm 5.784 5.784 5.784
```

The value obtained for the volume is 33.10 Å³ per atom. For the calculated density, the calculation gives 8.22 Mg/m³. The density of states at the Fermi level is 2.076 states/eV/atom. Its energy is -4.26 eV per atom. The value obtained for the energy of formation from the pure elements is 0.284 eV per atom.

***

2.
PrDy5 | GGA-PBE | optimized geometry

```
6
Lattice="4.895 -2.829 0.000 4.895 2.829 0.000 -0.015 0.000 6.947" Properties=species:S:1:pos:R:3 pbc="T T T"
Pr 0.000 0.000 0.000
Dy -0.008 0.000 3.474
Dy 3.260 0.000 1.765
Dy 3.252 0.000 5.181
Dy 6.524 0.000 1.767
Dy 6.516 0.000 5.182
```

The value obtained for the volume is 32.07 Å³ per atom. For the calculated density, the calculation gives 8.23 Mg/m³. The density of states at the Fermi level is 1.399 states/eV/atom. Its energy is -4.57 eV per atom. The value obtained for the energy of formation from the pure elements is 0.065 eV per atom.

***

3.
Nd3HoRu | GGA-PBE | optimized geometry

```
5
Lattice="5.525 0.000 0.000 0.000 5.525 0.000 0.000 0.000 5.525" Properties=species:S:1:pos:R:3 pbc="T T T"
Nd 0.000 0.000 2.763
Nd 0.000 2.763 0.000
Nd 2.763 0.000 0.000
Ho 2.763 2.763 2.763
Ru 0.000 0.000 0.000
```

The value obtained for the volume is 33.74 Å³ per atom. For the calculated density, the calculation gives 6.88 Mg/m³. The density of states at the Fermi level is 1.730 states/eV/atom. Its energy is -5.57 eV per atom. The value obtained for the energy of formation from the pure elements is 0.059 eV per atom.

***

4.
TlCdHgCl5 | GGA-PBE | optimized geometry

```
16
Lattice="4.467 -6.119 0.000 4.467 6.119 0.000 -3.613 0.000 9.035" Properties=species:S:1:pos:R:3 pbc="T T T"
Tl 1.758 4.099 6.776
Tl 3.564 -4.099 2.259
Cd 4.467 0.000 0.000
Cd 2.661 0.000 4.517
Hg 3.564 3.908 2.259
Hg 1.758 -3.908 6.776
Cl -1.735 0.694 8.579
Cl 1.992 2.480 3.652
Cl 0.072 -0.694 4.062
Cl 5.137 2.480 0.865
Cl 1.758 0.917 6.776
Cl 3.564 -0.917 2.259
Cl 0.185 -2.480 8.169
Cl 5.250 0.694 4.973
Cl 3.330 -2.480 5.383
Cl 7.056 -0.694 0.456
```

The value obtained for the volume is 30.87 Å³ per atom. For the calculated density, the calculation gives 4.67 Mg/m³. The density of states at the Fermi level is 0.000 states/eV/atom. Its energy is -2.48 eV per atom. The value obtained for the formation energy without anion corrections is -0.88 eV per atom.

***

5.
LiRuBr2 | GGA-PBE | optimized geometry

```
4
Lattice="3.647 -3.670 0.000 3.647 3.670 0.000 -0.681 0.000 3.574" Properties=species:S:1:pos:R:3 pbc="T T T"
Li 0.000 0.000 0.000
Ru 3.647 0.000 0.000
Br 1.823 1.835 0.000
Br 1.823 -1.835 0.000
```

The value obtained for the volume is 23.91 Å³ per atom. For the calculated density, the calculation gives 4.65 Mg/m³. The density of states at the Fermi level is 0.923 states/eV/atom. Its energy is -3.69 eV per atom. The value obtained for the formation energy without anion corrections is -0.06 eV per atom.

***

6.
MgCr2Pb | GGA-PBE | optimized geometry

```
4
Lattice="3.225 0.000 0.000 0.000 4.207 0.000 0.000 0.000 5.913" Properties=species:S:1:pos:R:3 pbc="T T T"
Mg 0.000 0.000 0.000
Cr 0.000 0.000 3.088
Cr 1.612 2.104 4.620
Pb 1.612 2.104 1.745
```

The value obtained for the volume is 20.06 Å³ per atom. For the calculated density, the calculation gives 6.94 Mg/m³. The density of states at the Fermi level is 1.031 states/eV/atom. Its energy is -5.50 eV per atom. The value obtained for the energy of formation from the pure elements is 0.634 eV per atom.

***

7.
PrAs2PdRh5 | GGA-PBE | optimized geometry

```
9
Lattice="4.184 0.000 0.000 0.000 4.184 0.000 0.000 0.000 8.917" Properties=species:S:1:pos:R:3 pbc="T T T"
Pr 0.000 0.000 0.000
As 2.092 2.092 3.249
As 2.092 2.092 5.668
Pd 0.000 0.000 4.458
Rh 0.000 2.092 2.133
Rh 0.000 2.092 6.784
Rh 2.092 0.000 2.133
Rh 2.092 0.000 6.784
Rh 2.092 2.092 0.000
```

The value obtained for the volume is 17.34 Å³ per atom. For the calculated density, the calculation gives 9.70 Mg/m³. The density of states at the Fermi level is 1.213 states/eV/atom. Its energy is -6.49 eV per atom. The value obtained for the energy of formation from the pure elements is -0.265 eV per atom.

***

8.
CsAsPt2 | GGA-PBE | optimized geometry

```
16
Lattice="5.457 0.000 0.000 0.000 11.125 0.000 -5.445 0.000 12.218" Properties=species:S:1:pos:R:3 pbc="T T T"
Cs -1.316 2.781 3.055
Cs -4.039 2.782 9.164
Cs 4.051 8.343 3.054
Cs 1.329 8.344 9.163
As 1.364 11.125 1.242
As -1.358 5.563 7.351
As -1.352 0.001 10.976
As 1.370 5.562 4.867
Pt -5.437 1.594 12.210
Pt -2.714 3.969 6.102
Pt -0.002 7.156 6.100
Pt -2.724 9.531 12.209
Pt 2.737 1.594 0.009
Pt 0.014 3.969 6.118
Pt 2.727 7.156 6.116
Pt 5.449 9.531 0.007
```

The value obtained for the volume is 46.36 Å³ per atom. For the calculated density, the calculation gives 5.35 Mg/m³. The density of states at the Fermi level is 0.254 states/eV/atom. Its energy is -4.55 eV per atom. The value obtained for the energy of formation from the pure elements is -0.156 eV per atom.

***

Which value of volume does entry 3 give?
33.74 Å³ per atom

***

Copy entry 4 word for word.
TlCdHgCl5 | GGA-PBE | optimized geometry

```
16
Lattice="4.467 -6.119 0.000 4.467 6.119 0.000 -3.613 0.000 9.035" Properties=species:S:1:pos:R:3 pbc="T T T"
Tl 1.758 4.099 6.776
Tl 3.564 -4.099 2.259
Cd 4.467 0.000 0.000
Cd 2.661 0.000 4.517
Hg 3.564 3.908 2.259
Hg 1.758 -3.908 6.776
Cl -1.735 0.694 8.579
Cl 1.992 2.480 3.652
Cl 0.072 -0.694 4.062
Cl 5.137 2.480 0.865
Cl 1.758 0.917 6.776
Cl 3.564 -0.917 2.259
Cl 0.185 -2.480 8.169
Cl 5.250 0.694 4.973
Cl 3.330 -2.480 5.383
Cl 7.056 -0.694 0.456
```

The value obtained for the volume is 30.87 Å³ per atom. For the calculated density, the calculation gives 4.67 Mg/m³. The density of states at the Fermi level is 0.000 states/eV/atom. Its energy is -2.48 eV per atom. The value obtained for the formation energy without anion corrections is -0.88 eV per atom.

***

Which formula does entry 6 have?
MgCr2Pb